## ReIrNO (GGA-PBE)

Data for ReIrNO after structural relaxation.

## Properties
* DFT total energy: -7.97 eV per atom
* space-group type: P4/nmm, No. 129
* energy relative to the lowest polymorph listed for this composition: 0.8128 eV/atom

Unit cell a=3.713 b=3.713 c=6.246 alpha=90.00 beta=90.00 gamma=90.00
Sites, in units of the cell vectors:
1 Re 0.250 0.250 0.173
2 Re 0.750 0.750 0.827
3 Ir 0.250 0.750 0.500
4 Ir 0.750 0.250 0.500
5 N 0.250 0.250 0.698
6 N 0.750 0.750 0.302
7 O 0.250 0.750 0.000
8 O 0.750 0.250 0.000